1.
Density functional theory data (PBE-GGA) for an optimized crystal structure of NaLaInAu.

Computed properties:
ΔE_f: -0.419 eV/atom
symmetry: No. 216

Cell lengths 5.298, 5.298, 5.298 Å; angles 60.00, 60.00, 60.00 degrees
Element x y z (fractional)
La (0.750, 0.750, 0.750)
Au (0.000, 0.000, 0.000)
In (0.500, 0.500, 0.500)
Na (0.250, 0.250, 0.250)

***

2.
Density functional theory data (PBE-GGA) for an optimized crystal structure of LaInNiAu.

Computed properties:
ΔE_f: -0.413 eV/atom
symmetry: No. 216

Cell lengths 4.971, 4.971, 4.971 Å; angles 60.00, 60.00, 60.00 degrees
Element x y z (fractional)
In (0.000, 0.000, 0.000)
La (0.500, 0.500, 0.500)
Ni (0.250, 0.250, 0.250)
Au (0.750, 0.750, 0.750)

***

3.
Density functional theory data (PBE-GGA) for an optimized crystal structure of La2InNi3Au12.

Computed properties:
ΔE_f: 0.004 eV/atom
symmetry: No. 166

Cell lengths 8.166, 8.166, 8.166 Å; angles 63.67, 63.67, 63.67 degrees
Element x y z (fractional)
La (0.608, 0.608, 0.608)
Au (0.138, 0.138, 0.609)
La (0.392, 0.392, 0.392)
Ni (0.500, 0.000, 0.000)
Au (0.642, 0.116, 0.642)
Au (0.138, 0.609, 0.138)
Au (0.862, 0.391, 0.862)
Au (0.862, 0.862, 0.391)
Au (0.391, 0.862, 0.862)
In (0.000, 0.000, 0.000)
Au (0.358, 0.358, 0.884)
Au (0.116, 0.642, 0.642)
Ni (0.000, 0.500, 0.000)
Au (0.884, 0.358, 0.358)
Au (0.609, 0.138, 0.138)
Au (0.642, 0.642, 0.116)
Au (0.358, 0.884, 0.358)
Ni (0.000, 0.000, 0.500)

***

4.
Density functional theory data (PBE-GGA) for an optimized crystal structure of La2InPd3Au12.

Computed properties:
ΔE_f: -0.016 eV/atom
symmetry: No. 166

Cell lengths 8.251, 8.251, 8.251 Å; angles 64.88, 64.88, 64.88 degrees
Element x y z (fractional)
Au (0.856, 0.384, 0.856)
Au (0.124, 0.630, 0.630)
Au (0.616, 0.144, 0.144)
La (0.390, 0.390, 0.390)
Au (0.384, 0.856, 0.856)
Au (0.630, 0.630, 0.124)
Pd (0.500, 0.000, 0.000)
Au (0.876, 0.370, 0.370)
Pd (0.000, 0.000, 0.500)
Au (0.630, 0.124, 0.630)
Au (0.856, 0.856, 0.384)
La (0.610, 0.610, 0.610)
Au (0.370, 0.876, 0.370)
Au (0.144, 0.616, 0.144)
In (0.000, 0.000, 0.000)
Au (0.144, 0.144, 0.616)
Au (0.370, 0.370, 0.876)
Pd (0.000, 0.500, 0.000)

***

5.
Density functional theory data (PBE-GGA) for an optimized crystal structure of La2In4PdAu3.

Computed properties:
ΔE_f: -0.583 eV/atom
symmetry: No. 115

Cell lengths 4.662, 4.662, 11.236 Å; angles 90.00, 90.00, 90.00 degrees
Element x y z (fractional)
Au (0.000, 0.000, 0.500)
Pd (0.500, 0.500, 0.500)
In (0.000, 0.000, 0.000)
Au (0.500, 0.000, 0.860)
In (0.000, 0.500, 0.377)
In (0.500, 0.000, 0.623)
La (0.000, 0.500, 0.738)
Au (0.000, 0.500, 0.140)
La (0.500, 0.000, 0.262)
In (0.500, 0.500, 0.000)

***

6.
Density functional theory data (PBE-GGA) for an optimized crystal structure of LaPmInAu.

Computed properties:
ΔE_f: -0.574 eV/atom
symmetry: No. 216

Cell lengths 5.429, 5.429, 5.429 Å; angles 60.00, 60.00, 60.00 degrees
Element x y z (fractional)
In (0.250, 0.250, 0.250)
La (0.000, 0.000, 0.000)
Pm (0.500, 0.500, 0.500)
Au (0.750, 0.750, 0.750)

***

7.
Density functional theory data (PBE-GGA) for an optimized crystal structure of LaPrInAu.

Computed properties:
energy above the most stable polymorph in this dataset: 0.000 eV per atom
ΔE_f: -0.625 eV/atom
symmetry: No. 99

Cell lengths 3.758, 3.758, 8.076 Å; angles 90.00, 90.00, 90.00 degrees
Element x y z (fractional)
La (0.000, 0.000, 0.840)
In (0.500, 0.500, 0.111)
Au (0.500, 0.500, 0.600)
Pr (0.000, 0.000, 0.376)

***

8.
Density functional theory data (PBE-GGA) for an optimized crystal structure of LaPrInAu.

Computed properties:
energy above the most stable polymorph in this dataset: 0.057 eV per atom
ΔE_f: -0.568 eV/atom
symmetry: No. 216

Cell lengths 5.464, 5.464, 5.464 Å; angles 60.00, 60.00, 60.00 degrees
Element x y z (fractional)
Au (0.750, 0.750, 0.750)
La (0.000, 0.000, 0.000)
Pr (0.500, 0.500, 0.500)
In (0.250, 0.250, 0.250)

***

9.
Density functional theory data (PBE-GGA) for an optimized crystal structure of RbLa2InAu.

Computed properties:
ΔE_f: 0.269 eV/atom
symmetry: No. 123

Cell lengths 6.178, 5.327, 6.178 Å; angles 90.00, 90.00, 90.00 degrees
Element x y z (fractional)
Rb (0.500, 0.500, 0.500)
La (0.500, 0.000, 0.000)
La (0.000, 0.000, 0.500)
Au (0.000, 0.500, 0.000)
In (0.000, 0.000, 0.000)

***

10.
Density functional theory data (PBE-GGA) for an optimized crystal structure of LaInAu2S.

Computed properties:
ΔE_f (raw): 0.668 eV/atom
symmetry: No. 123

Cell lengths 5.507, 6.666, 5.507 Å; angles 90.00, 90.00, 90.00 degrees
Element x y z (fractional)
In (0.000, 0.500, 0.000)
Au (0.000, 0.000, 0.500)
La (0.000, 0.000, 0.000)
S (0.500, 0.500, 0.500)
Au (0.500, 0.000, 0.000)

***

11.
Density functional theory data (PBE-GGA) for an optimized crystal structure of LaInAuSe2.

Computed properties:
ΔE_f (raw): 0.013 eV/atom
symmetry: No. 123

Cell lengths 5.544, 11.023, 5.544 Å; angles 90.00, 90.00, 90.00 degrees
Element x y z (fractional)
Au (0.500, 0.500, 0.500)
La (0.000, 0.000, 0.000)
Se (0.500, 0.000, 0.000)
Se (0.000, 0.000, 0.500)
In (0.000, 0.500, 0.000)

***

12.
Density functional theory data (PBE-GGA) for an optimized crystal structure of La2InAuSe5.

Computed properties:
ΔE_f (raw): -1.242 eV/atom
symmetry: No. 36

Cell lengths 4.267, 9.567, 12.212 Å; angles 90.00, 90.00, 102.88 degrees
Element x y z (fractional)
Se (0.687, 0.374, 0.146)
La (0.115, 0.229, 0.676)
La (0.122, 0.243, 0.294)
Au (0.744, 0.489, 0.590)
Se (0.037, 0.074, 0.068)
In (0.413, 0.825, 0.466)
La (0.878, 0.757, 0.794)
In (0.587, 0.175, 0.966)
La (0.885, 0.771, 0.176)
Se (0.371, 0.743, 0.985)
Se (0.308, 0.617, 0.321)
Se (0.692, 0.383, 0.821)
Se (0.496, 0.992, 0.279)
Au (0.256, 0.511, 0.090)
Se (0.629, 0.257, 0.485)
Se (0.313, 0.626, 0.646)
Se (0.963, 0.926, 0.568)
Se (0.504, 0.008, 0.779)

***

13.
Density functional theory data (PBE-GGA) for an optimized crystal structure of LaInSi2Au6.

Computed properties:
ΔE_f (raw): -0.090 eV/atom
symmetry: No. 148

Cell lengths 6.612, 6.612, 8.420 Å; angles 66.88, 66.88, 60.00 degrees
Element x y z (fractional)
Au (0.396, 0.879, 0.193)
Au (0.604, 0.121, 0.807)
Au (0.532, 0.396, 0.193)
In (0.500, 0.500, 0.500)
Au (0.121, 0.468, 0.807)
La (0.000, 0.000, 0.000)
Au (0.879, 0.532, 0.193)
Si (0.296, 0.296, 0.111)
Si (0.704, 0.704, 0.889)
Au (0.468, 0.604, 0.807)

***

14.
Density functional theory data (PBE-GGA) for an optimized crystal structure of La2InSiAu.

Computed properties:
ΔE_f (raw): -0.005 eV/atom
symmetry: No. 123

Cell lengths 5.734, 5.066, 5.734 Å; angles 90.00, 90.00, 90.00 degrees
Element x y z (fractional)
Au (0.000, 0.000, 0.000)
In (0.000, 0.500, 0.000)
Si (0.500, 0.500, 0.500)
La (0.500, 0.000, 0.000)
La (0.000, 0.000, 0.500)

***

15.
Density functional theory data (PBE-GGA) for an optimized crystal structure of LaSmInAu.

Computed properties:
energy above the most stable polymorph in this dataset: 0.000 eV per atom
ΔE_f: -0.645 eV/atom
symmetry: No. 99

Cell lengths 3.725, 3.725, 8.001 Å; angles 90.00, 90.00, 90.00 degrees
Element x y z (fractional)
Au (0.500, 0.500, 0.586)
Sm (0.000, 0.000, 0.379)
In (0.500, 0.500, 0.119)
La (0.000, 0.000, 0.844)

***

16.
Density functional theory data (PBE-GGA) for an optimized crystal structure of LaSmInAu.

Computed properties:
energy above the most stable polymorph in this dataset: 0.070 eV per atom
ΔE_f: -0.575 eV/atom
symmetry: No. 216

Cell lengths 5.417, 5.417, 5.417 Å; angles 60.00, 60.00, 60.00 degrees
Element x y z (fractional)
La (0.750, 0.750, 0.750)
Au (0.000, 0.000, 0.000)
In (0.500, 0.500, 0.500)
Sm (0.250, 0.250, 0.250)

***

17.
Density functional theory data (PBE-GGA) for an optimized crystal structure of La2InSn3Au4.

Computed properties:
ΔE_f: -0.624 eV/atom
symmetry: No. 115

Cell lengths 4.653, 4.653, 11.453 Å; angles 90.00, 90.00, 90.00 degrees
Element x y z (fractional)
La (0.500, 0.000, 0.235)
Au (0.000, 0.500, 0.363)
Au (0.500, 0.500, 0.000)
Au (0.500, 0.000, 0.637)
Sn (0.000, 0.000, 0.500)
Sn (0.500, 0.000, 0.869)
Sn (0.000, 0.500, 0.131)
Au (0.000, 0.000, 0.000)
La (0.000, 0.500, 0.765)
In (0.500, 0.500, 0.500)

***

18.
Density functional theory data (PBE-GGA) for an optimized crystal structure of Sr2LaInAu.

Computed properties:
ΔE_f: -0.087 eV/atom
symmetry: No. 123

Cell lengths 6.467, 6.218, 6.467 Å; angles 90.00, 90.00, 90.00 degrees
Element x y z (fractional)
La (0.000, 0.500, 0.000)
Sr (0.000, 0.000, 0.500)
In (0.500, 0.500, 0.500)
Au (0.000, 0.000, 0.000)
Sr (0.500, 0.000, 0.000)

***

19.
Density functional theory data (PBE-GGA) for an optimized crystal structure of LaTb2InAu4.

Computed properties:
ΔE_f: -0.741 eV/atom
symmetry: No. 166

Cell lengths 5.030, 5.030, 9.240 Å; angles 74.21, 74.21, 60.00 degrees
Element x y z (fractional)
Tb (0.763, 0.763, 0.712)
Au (0.386, 0.386, 0.842)
Au (0.614, 0.614, 0.158)
La (0.000, 0.000, 0.000)
Au (0.881, 0.881, 0.356)
In (0.500, 0.500, 0.500)
Tb (0.237, 0.237, 0.288)
Au (0.119, 0.119, 0.644)

***

20.
Density functional theory data (PBE-GGA) for an optimized crystal structure of LaTbInAu.

Computed properties:
ΔE_f: -0.580 eV/atom
symmetry: No. 216

Cell lengths 5.380, 5.380, 5.380 Å; angles 60.00, 60.00, 60.00 degrees
Element x y z (fractional)
Au (0.000, 0.000, 0.000)
La (0.250, 0.250, 0.250)
In (0.500, 0.500, 0.500)
Tb (0.750, 0.750, 0.750)

***

21.
Density functional theory data (PBE-GGA) for an optimized crystal structure of LaThInAu.

Computed properties:
ΔE_f: -0.429 eV/atom
symmetry: No. 216

Cell lengths 5.430, 5.430, 5.430 Å; angles 60.00, 60.00, 60.00 degrees
Element x y z (fractional)
La (0.250, 0.250, 0.250)
In (0.500, 0.500, 0.500)
Th (0.750, 0.750, 0.750)
Au (0.000, 0.000, 0.000)

***

22.
Density functional theory data (PBE-GGA) for an optimized crystal structure of La4Tl2InAu.

Computed properties:
ΔE_f: -0.509 eV/atom
symmetry: No. 166

Cell lengths 5.537, 5.537, 9.662 Å; angles 73.35, 73.35, 60.00 degrees
Element x y z (fractional)
La (0.381, 0.381, 0.856)
La (0.868, 0.868, 0.397)
In (0.000, 0.000, 0.000)
La (0.619, 0.619, 0.144)
Au (0.500, 0.500, 0.500)
Tl (0.255, 0.255, 0.235)
La (0.132, 0.132, 0.603)
Tl (0.745, 0.745, 0.765)

***

23.
Density functional theory data (PBE-GGA) for an optimized crystal structure of LaTlInAu.

Computed properties:
ΔE_f: -0.485 eV/atom
symmetry: No. 216

Cell lengths 5.270, 5.270, 5.270 Å; angles 60.00, 60.00, 60.00 degrees
Element x y z (fractional)
La (0.250, 0.250, 0.250)
Au (0.000, 0.000, 0.000)
Tl (0.500, 0.500, 0.500)
In (0.750, 0.750, 0.750)

***

24.
Density functional theory data (PBE-GGA) for an optimized crystal structure of La4TlIn2Au.

Computed properties:
ΔE_f: -0.525 eV/atom
symmetry: No. 166

Cell lengths 5.529, 5.529, 9.679 Å; angles 73.41, 73.41, 60.00 degrees
Element x y z (fractional)
Au (0.500, 0.500, 0.500)
La (0.132, 0.132, 0.604)
In (0.254, 0.254, 0.237)
In (0.746, 0.746, 0.763)
La (0.619, 0.619, 0.143)
La (0.381, 0.381, 0.857)
La (0.868, 0.868, 0.396)
Tl (0.000, 0.000, 0.000)

***

25.
Density functional theory data (PBE-GGA) for an optimized crystal structure of LaTmIn2Au4.

Computed properties:
ΔE_f: -0.695 eV/atom
symmetry: No. 166

Cell lengths 4.943, 4.943, 8.952 Å; angles 73.97, 73.97, 60.00 degrees
Element x y z (fractional)
Au (0.614, 0.614, 0.157)
In (0.751, 0.751, 0.748)
In (0.249, 0.249, 0.252)
Au (0.868, 0.868, 0.397)
La (0.000, 0.000, 0.000)
Au (0.132, 0.132, 0.603)
Tm (0.500, 0.500, 0.500)
Au (0.386, 0.386, 0.843)

***

26.
Density functional theory data (PBE-GGA) for an optimized crystal structure of LaTmInAu.

Computed properties:
ΔE_f: -0.580 eV/atom
symmetry: No. 216

Cell lengths 5.341, 5.341, 5.341 Å; angles 60.00, 60.00, 60.00 degrees
Element x y z (fractional)
La (0.250, 0.250, 0.250)
Au (0.000, 0.000, 0.000)
Tm (0.750, 0.750, 0.750)
In (0.500, 0.500, 0.500)